No. 1
## Mg3AsN (GGA-PBE)

Data for crystalline Mg3AsN at its relaxed geometry.

Output
The value obtained for the final energy is -4.00 eV/atom. Its space group is Pmmn. The total magnetization comes out at 0.00 μB per formula unit.

The structure in POSCAR format:
```
Mg3AsN
1.0
3.651 0.000 -0.598
0.000 5.776 0.000
-2.469 0.000 7.807
Mg N As
6 2 2
Direct
0.853 0.250 0.603
0.607 0.996 0.858
0.607 0.504 0.858
0.147 0.750 0.397
0.393 0.004 0.142
0.393 0.496 0.142
0.842 0.750 0.092
0.158 0.250 0.908
0.899 0.750 0.649
0.101 0.250 0.351
```


No. 2
## La6CdGe (GGA-PBE)

Data for crystalline La6CdGe at its relaxed geometry.

Output
Its space group is I4/mmm. The total magnetization comes out at 0.00 μB per formula unit. Its formation energy from the elements is -23.4 kJ per mole of atoms.

The structure in POSCAR format:
```
La6CdGe
1.0
-1.948 0.271 5.370
4.700 -2.689 1.841
4.885 5.563 4.537
Ge La Cd
1 6 1
Direct
0.500 0.500 0.000
0.892 0.392 0.217
0.108 0.608 0.783
0.608 0.108 0.783
0.276 0.276 0.448
0.392 0.892 0.217
0.724 0.724 0.552
0.000 0.000 0.000
```


No. 3
## DyYAg4 (GGA-PBE)

Data for crystalline DyYAg4 at its relaxed geometry.

Output
Its space group is C2/m. The total magnetization comes out at 0.00 μB per formula unit. Its formation energy from the elements is -30.6 kJ per mole of atoms.

The structure in POSCAR format:
```
DyYAg4
1.0
-2.106 2.879 1.050
-3.014 -3.773 -2.284
-3.791 -2.557 6.009
Y Ag Dy
1 4 1
Direct
0.001 0.997 0.498
0.668 0.994 0.162
0.165 0.492 0.665
0.335 0.001 0.834
0.837 0.503 0.331
0.501 0.497 0.998
```


No. 4
## PmCuBi2 (GGA-PBE)

Data for crystalline PmCuBi2 at its relaxed geometry.

Output
Its space group is R-3m. The total magnetization comes out at 0.00 μB per formula unit. Its formation energy from the elements is 1.4 kJ per mole of atoms.

The structure in POSCAR format:
```
PmCuBi2
1.0
-0.003 3.508 -0.651
-0.856 1.211 -3.245
-10.398 2.095 1.564
Pm Cu Bi
1 1 2
Direct
0.500 0.500 0.500
0.000 0.000 0.000
0.918 0.918 0.245
0.082 0.082 0.755
```